Ac8Te4As3Se: relaxed, PBE-GGA.

## Properties
Its space-group type is No. 166. The value obtained for the volume is 35.19 Å³ per atom. The formation energy (no corrections) comes out at -1.594 eV/atom. The magnetic moment comes out at 0.0 μB/f.u.

Unit cell a=9.1752 b=9.3647 c=9.1752 alpha=119.33 beta=120.00 gamma=90.00
Sites, in units of the cell vectors:
Ac (0.2433, 0.7238, 0.9804)
Ac (0.2592, 0.2775, 0.5183)
Ac (0.2433, 0.7238, 0.4867)
Ac (0.2629, 0.2762, 0.0196)
Ac (0.7567, 0.2762, 0.5133)
Ac (0.7371, 0.7238, 0.9804)
Ac (0.7567, 0.2762, 0.0196)
Ac (0.7408, 0.7225, 0.4817)
As (0.5000, 0.5000, 0.5000)
As (0.5000, 0.5000, 0.0000)
As (0.0000, 0.5000, 0.5000)
Te (0.5000, 0.0000, 0.5000)
Te (0.0000, 0.0000, 0.5000)
Te (0.5000, 0.0000, 0.0000)
Te (0.0000, 0.0000, 0.0000)
Se (0.0000, 0.5000, 0.0000)

SrTcCl2: relaxed, PBE-GGA.

## Properties
Its space-group type is No. 6. As for the polymorph energy (0 for the lowest one): 0.08 eV/f.u. The value obtained for the volume is 22.00 Å³ per atom. The formation energy (no corrections) comes out at -0.515 eV/atom. The magnetic moment comes out at 0.3 μB/f.u.

Unit cell a=4.6467 b=3.8773 c=4.9083 alpha=84.26 beta=90.00 gamma=90.00
Sites, in units of the cell vectors:
Sr (0.0000, 0.5148, 0.4581)
Cl (0.0000, 0.9475, 0.9141)
Cl (0.5000, 0.0835, 0.3101)
Tc (0.5000, 0.9541, 0.8178)

AlSeCl2: relaxed, PBE-GGA.

## Properties
Its space-group type is No. 123. As for the polymorph energy (0 for the lowest one): 4.49 eV/f.u. The value obtained for the volume is 20.42 Å³ per atom. The formation energy (no corrections) comes out at 0.215 eV/atom. The magnetic moment comes out at 0.0 μB/f.u.

Unit cell a=4.2775 b=4.3694 c=4.3694 alpha=90.00 beta=90.00 gamma=90.00
Sites, in units of the cell vectors:
Cl (0.0000, 0.0000, 0.0000)
Cl (0.0000, 0.5000, 0.5000)
Se (0.5000, 0.5000, 0.0000)
Al (0.5000, 0.0000, 0.5000)

PuVSn: relaxed, PBE-GGA.

## Properties
Its space-group type is No. 63. The value obtained for the volume is 21.98 Å³ per atom. The value obtained for the formation energy is 0.124 eV/atom. The magnetic moment comes out at 5.7 μB/f.u.

Unit cell a=5.4811 b=3.0135 c=8.1264 alpha=79.31 beta=90.00 gamma=90.00
Sites, in units of the cell vectors:
V (0.0000, 0.0000, 0.0000)
V (0.5000, 0.0000, 0.0000)
Pu (0.2500, 0.1699, 0.6602)
Pu (0.7500, 0.8301, 0.3398)
Sn (0.7500, 0.6239, 0.7522)
Sn (0.2500, 0.3761, 0.2478)

Rb2ZrF: relaxed, PBE-GGA.

## Properties
Its space-group type is No. 225. As for the polymorph energy (0 for the lowest one): 1.94 eV/f.u. The value obtained for the volume is 45.25 Å³ per atom. The formation energy (no corrections) comes out at 0.286 eV/atom. The magnetic moment comes out at 3.0 μB/f.u.

Unit cell a=6.3493 b=6.3493 c=6.3493 alpha=60.00 beta=60.00 gamma=60.00
Sites, in units of the cell vectors:
Zr (0.5000, 0.5000, 0.5000)
F (0.0000, 0.0000, 0.0000)
Rb (0.2500, 0.2500, 0.2500)
Rb (0.7500, 0.7500, 0.7500)

BaAlSiAg: relaxed, PBE-GGA.

## Properties
Its space-group type is No. 129. The value obtained for the volume is 25.73 Å³ per atom. The formation energy (no corrections) comes out at -0.240 eV/atom. The magnetic moment comes out at 0.0 μB/f.u.

Unit cell a=4.1790 b=4.1790 c=11.7869 alpha=90.00 beta=90.00 gamma=90.00
Sites, in units of the cell vectors:
Ag (0.2500, 0.7500, 0.5000)
Ag (0.7500, 0.2500, 0.5000)
Si (0.7500, 0.7500, 0.8741)
Si (0.2500, 0.2500, 0.1259)
Al (0.7500, 0.2500, 0.0000)
Al (0.2500, 0.7500, 0.0000)
Ba (0.7500, 0.7500, 0.2621)
Ba (0.2500, 0.2500, 0.7379)

LiTa2Cl: relaxed, PBE-GGA.

## Properties
Its space-group type is No. 10. As for the polymorph energy (0 for the lowest one): 1.85 eV/f.u. The value obtained for the volume is 18.92 Å³ per atom. The formation energy (no corrections) comes out at 0.329 eV/atom. The magnetic moment comes out at 0.0 μB/f.u.

Unit cell a=5.3699 b=3.0413 c=4.6684 alpha=97.03 beta=90.00 gamma=90.00
Sites, in units of the cell vectors:
Ta (0.0000, 0.4798, 0.5212)
Ta (0.0000, 0.0202, 0.9788)
Cl (0.5000, 0.2500, 0.2500)
Li (0.5000, 0.7500, 0.7500)

Cs2Sn13: relaxed, PBE-GGA.

## Properties
Its space-group type is No. 166. The value obtained for the volume is 47.24 Å³ per atom. The value obtained for the formation energy is 0.115 eV/atom. The magnetic moment comes out at 0.0 μB/f.u.

Unit cell a=8.8580 b=8.8580 c=11.6142 alpha=67.58 beta=67.58 gamma=60.00
Sites, in units of the cell vectors:
Cs (0.3092, 0.3092, 0.0724)
Cs (0.6908, 0.6908, 0.9276)
Sn (0.5399, 0.5399, 0.7378)
Sn (0.9128, 0.2807, 0.5259)
Sn (0.5399, 0.1824, 0.7378)
Sn (0.4601, 0.4601, 0.2622)
Sn (0.7193, 0.7193, 0.4741)
Sn (0.8176, 0.4601, 0.2622)
Sn (0.0872, 0.7193, 0.4741)
Sn (0.4601, 0.8176, 0.2622)
Sn (0.7193, 0.0872, 0.4741)
Sn (0.2807, 0.2807, 0.5259)
Sn (0.1824, 0.5399, 0.7378)
Sn (0.5000, 0.5000, 0.5000)
Sn (0.2807, 0.9128, 0.5259)

AcAlSn2Pd4: relaxed, PBE-GGA.

## Properties
Its space-group type is No. 166. The value obtained for the volume is 20.54 Å³ per atom. The value obtained for the formation energy is -0.735 eV/atom. The magnetic moment comes out at 0.0 μB/f.u.

Unit cell a=4.5526 b=4.5526 c=9.5266 alpha=76.18 beta=76.18 gamma=60.00
Sites, in units of the cell vectors:
Al (0.5000, 0.5000, 0.5000)
Ac (0.0000, 0.0000, 0.0000)
Pd (0.1406, 0.1406, 0.5781)
Pd (0.4078, 0.4078, 0.7767)
Pd (0.8594, 0.8594, 0.4219)
Pd (0.5922, 0.5922, 0.2233)
Sn (0.7573, 0.7573, 0.7280)
Sn (0.2427, 0.2427, 0.2720)

HoTmHgOs: relaxed, PBE-GGA.

## Properties
Its space-group type is No. 216. As for the polymorph energy (0 for the lowest one): 0.51 eV/f.u. The value obtained for the volume is 21.72 Å³ per atom. The value obtained for the formation energy is -0.293 eV/atom. The magnetic moment comes out at 0.0 μB/f.u.

Unit cell a=4.9711 b=4.9711 c=4.9711 alpha=60.00 beta=60.00 gamma=60.00
Sites, in units of the cell vectors:
Tm (0.0000, 0.0000, 0.0000)
Ho (0.5000, 0.5000, 0.5000)
Os (0.2500, 0.2500, 0.2500)
Hg (0.7500, 0.7500, 0.7500)

LaTbDyZn: relaxed, PBE-GGA.

## Properties
Its space-group type is No. 216. As for the polymorph energy (0 for the lowest one): 0.76 eV/f.u. The value obtained for the volume is 28.49 Å³ per atom. The value obtained for the formation energy is 0.036 eV/atom. The magnetic moment comes out at 0.0 μB/f.u.

Unit cell a=5.4417 b=5.4417 c=5.4417 alpha=60.00 beta=60.00 gamma=60.00
Sites, in units of the cell vectors:
La (0.5000, 0.5000, 0.5000)
Tb (0.0000, 0.0000, 0.0000)
Zn (0.2500, 0.2500, 0.2500)
Dy (0.7500, 0.7500, 0.7500)

Tb2ScTi: relaxed, PBE-GGA.

## Properties
Its space-group type is No. 123. As for the polymorph energy (0 for the lowest one): 0.05 eV/f.u. The value obtained for the volume is 25.68 Å³ per atom. The value obtained for the formation energy is 0.184 eV/atom. The magnetic moment comes out at 0.0 μB/f.u.

Unit cell a=4.5171 b=4.7684 c=4.7684 alpha=90.00 beta=90.00 gamma=90.00
Sites, in units of the cell vectors:
Sc (0.5000, 0.5000, 0.5000)
Tb (0.0000, 0.5000, 0.0000)
Tb (0.0000, 0.0000, 0.5000)
Ti (0.5000, 0.0000, 0.0000)

Tl2IrPbCl: relaxed, PBE-GGA.

## Properties
Its space-group type is No. 123. The value obtained for the volume is 29.84 Å³ per atom. The formation energy (no corrections) comes out at -0.274 eV/atom. The magnetic moment comes out at 0.0 μB/f.u.

Unit cell a=5.3374 b=5.3374 c=5.2373 alpha=90.00 beta=90.00 gamma=90.00
Sites, in units of the cell vectors:
Ir (0.0000, 0.0000, 0.0000)
Tl (0.0000, 0.5000, 0.0000)
Tl (0.5000, 0.0000, 0.0000)
Cl (0.5000, 0.5000, 0.5000)
Pb (0.0000, 0.0000, 0.5000)

HoSiAs: relaxed, PBE-GGA.

## Properties
Its space-group type is No. 63. The value obtained for the volume is 20.55 Å³ per atom. The formation energy (no corrections) comes out at -0.773 eV/atom. The magnetic moment comes out at 0.0 μB/f.u.

Unit cell a=3.8332 b=4.0138 c=8.2603 alpha=75.94 beta=90.00 gamma=90.00
Sites, in units of the cell vectors:
As (0.7500, 0.7486, 0.5027)
As (0.2500, 0.2514, 0.4973)
Si (0.7500, 0.4559, 0.0883)
Si (0.2500, 0.5441, 0.9117)
Ho (0.2500, 0.8927, 0.2146)
Ho (0.7500, 0.1073, 0.7854)

ErZn2Ag: relaxed, PBE-GGA.

## Properties
Its space-group type is No. 63. The value obtained for the volume is 19.56 Å³ per atom. The value obtained for the formation energy is -0.258 eV/atom. The magnetic moment comes out at 0.0 μB/f.u.

Unit cell a=4.4246 b=3.4885 c=10.2849 alpha=99.76 beta=90.00 gamma=90.00
Sites, in units of the cell vectors:
Zn (0.2500, 0.2644, 0.5288)
Zn (0.7500, 0.4705, 0.9409)
Zn (0.7500, 0.7356, 0.4712)
Zn (0.2500, 0.5295, 0.0591)
Er (0.7500, 0.0974, 0.1949)
Er (0.2500, 0.9026, 0.8051)
Ag (0.7500, 0.3401, 0.6801)
Ag (0.2500, 0.6599, 0.3199)

MgSiW2: relaxed, PBE-GGA.

## Properties
Its space-group type is No. 65. The value obtained for the volume is 15.58 Å³ per atom. The formation energy (no corrections) comes out at 0.420 eV/atom. The magnetic moment comes out at 0.0 μB/f.u.

Unit cell a=5.0397 b=5.0397 c=2.7002 alpha=90.00 beta=90.00 gamma=114.65
Sites, in units of the cell vectors:
Mg (0.5000, 0.0000, 0.5000)
Si (0.0000, 0.5000, 0.5000)
W (0.5000, 0.5000, 0.0000)
W (0.0000, 0.0000, 0.0000)

Ce4Hg3Pt: relaxed, PBE-GGA.

## Properties
Its space-group type is No. 123. The value obtained for the volume is 26.48 Å³ per atom. The value obtained for the formation energy is -0.475 eV/atom. The magnetic moment comes out at 1.0 μB/f.u.

Unit cell a=3.7630 b=3.7630 c=14.9579 alpha=90.00 beta=90.00 gamma=90.00
Sites, in units of the cell vectors:
Hg (0.5000, 0.5000, 0.2381)
Hg (0.5000, 0.5000, 0.7619)
Hg (0.5000, 0.5000, 0.5000)
Ce (0.0000, 0.0000, 0.9004)
Ce (0.0000, 0.0000, 0.3672)
Ce (0.0000, 0.0000, 0.6328)
Ce (0.0000, 0.0000, 0.0996)
Pt (0.5000, 0.5000, 0.0000)

CdRhCl2: relaxed, PBE-GGA.

## Properties
Its space-group type is No. 6. As for the polymorph energy (0 for the lowest one): 0.25 eV/f.u. The value obtained for the volume is 23.87 Å³ per atom. The formation energy (no corrections) comes out at -0.301 eV/atom. The magnetic moment comes out at 0.7 μB/f.u.

Unit cell a=3.4171 b=4.0191 c=7.1552 alpha=76.29 beta=90.00 gamma=90.00
Sites, in units of the cell vectors:
Cl (0.5000, 0.4036, 0.3239)
Cl (0.0000, 0.0765, 0.9133)
Cd (0.5000, 0.7312, 0.6940)
Rh (0.0000, 0.2887, 0.5688)

Ce3OsAu: relaxed, PBE-GGA.

## Properties
Its space-group type is No. 12. As for the polymorph energy (0 for the lowest one): 0.00 eV/f.u. The value obtained for the volume is 24.42 Å³ per atom. The value obtained for the formation energy is -0.357 eV/atom. The magnetic moment comes out at 0.7 μB/f.u.

Unit cell a=4.5980 b=5.8251 c=10.2636 alpha=76.46 beta=90.00 gamma=66.75
Sites, in units of the cell vectors:
Ce (0.2851, 0.8195, 0.0294)
Ce (0.5308, 0.3280, 0.3539)
Ce (0.5504, 0.2889, 0.8118)
Ce (0.8478, 0.6940, 0.3107)
Ce (0.2655, 0.8587, 0.5716)
Ce (0.9681, 0.4535, 0.0726)
Os (0.6310, 0.1276, 0.0810)
Os (0.1849, 0.0199, 0.3024)
Au (0.9885, 0.4126, 0.5987)
Au (0.8274, 0.7349, 0.7847)

BaTb4Pt3O12: relaxed, PBE-GGA.

## Properties
Its space-group type is No. 204. The value obtained for the volume is 14.53 Å³ per atom. The formation energy (no corrections) comes out at -2.139 eV/atom. The magnetic moment comes out at 4.0 μB/f.u.

Unit cell a=7.2274 b=7.2274 c=7.2274 alpha=109.47 beta=109.47 gamma=109.47
Sites, in units of the cell vectors:
O (0.5228, 0.6808, 0.8421)
O (0.8387, 0.6808, 0.1579)
O (0.1579, 0.8387, 0.6808)
O (0.8421, 0.1613, 0.3192)
O (0.3192, 0.8421, 0.1613)
O (0.1613, 0.3192, 0.8421)
O (0.3192, 0.1579, 0.4772)
O (0.1579, 0.4772, 0.3192)
O (0.8421, 0.5228, 0.6808)
O (0.4772, 0.3192, 0.1579)
O (0.6808, 0.8421, 0.5228)
O (0.6808, 0.1579, 0.8387)
Tb (0.0000, 0.5000, 0.0000)
Tb (0.0000, 0.0000, 0.5000)
Tb (0.5000, 0.0000, 0.0000)
Tb (0.5000, 0.5000, 0.5000)
Pt (0.0000, 0.5000, 0.5000)
Pt (0.5000, 0.5000, 0.0000)
Pt (0.5000, 0.0000, 0.5000)
Ba (0.0000, 0.0000, 0.0000)